Entry from the Alexandria database: crystalline CaMg4Ru at its relaxed geometry (GGA-PBE).

It has space group F-43m (No. 216), with a = 8.019 Å, b = 8.019 Å, c = 8.019 Å, α = 90.00°, β = 90.00° and γ = 90.00°. The asymmetric unit holds Ca at (0.000, 0.000, 0.000), Mg at (0.124, 0.124, 0.624) and Ru at (0.250, 0.250, 0.250).

The value obtained for the energy is -0.0990 Ha/atom. The formation energy is 0.25 eV/atom. Its density of states at the Fermi level is 7.66 states/eV/f.u.

Entry from the Alexandria database: crystalline CaMgRu2 at its relaxed geometry (GGA-PBE).

It has space group P4/mmm (No. 123), with a = 3.404 Å, b = 3.404 Å, c = 6.461 Å, α = 90.00°, β = 90.00° and γ = 90.00°. The asymmetric unit holds Ca at (0.000, 0.000, 0.000), Mg at (0.000, 0.000, 0.500) and Ru at (0.500, 0.500, 0.308).

The value obtained for the energy is -0.1920 Ha/atom. The formation energy is 0.31 eV/atom. Its density of states at the Fermi level is 4.46 states/eV/f.u.

Entry from the Alexandria database: crystalline CaMgRu2 at its relaxed geometry (GGA-PBE).

It has space group F-43m (No. 216), with a = 6.531 Å, b = 6.531 Å, c = 6.531 Å, α = 90.00°, β = 90.00° and γ = 90.00°. The asymmetric unit holds Ca at (0.000, 0.000, 0.000), Mg at (0.250, 0.250, 0.250), Ru at (0.000, 0.000, 0.500) and Ru at (0.250, 0.250, 0.750).

The value obtained for the energy is -0.1921 Ha/atom. The formation energy is 0.31 eV/atom. Its density of states at the Fermi level is 3.80 states/eV/f.u.

energy of number 2 (CaMgRu2)?
-0.1920 Ha/atom